GGA+U BaMnV2O8, optimized geometry; crystal system = trigonal; magnetic moment = 3.0 μB per cell; electronic total energy = -7.32 eV/atom; Fermi-level density of states = 0.00 states/eV/f.u.
1.0
5.3116 0.0000 0.0000
-2.6558 4.6000 0.0000
0.0000 0.0000 7.3522
O V Ba Mn
8 2 1 1
Direct
0.3128 0.2484 0.3427 O
0.0644 0.3128 0.6573 O
0.6872 0.7516 0.6573 O
0.6667 0.3333 0.0513 O
0.9356 0.6872 0.3427 O
0.7516 0.0644 0.3427 O
0.3333 0.6667 0.9487 O
0.2484 0.9356 0.6573 O
0.3333 0.6667 0.7191 V
0.6667 0.3333 0.2809 V
0.0000 0.0000 0.0000 Ba
0.0000 0.0000 0.5000 Mn